(1)
Compound: Li2ThP2Pd2
Source: the Alexandria database
Functional: PBE
Structure: optimized geometry

Results
Formation energy from the elements, eV per atom: -0.987
Space group: R-3m, No. 166

Lattice parameters (Å, degrees): 4.1965 4.1965 7.9444 74.69 74.69 60.00
Last column: nearest neighbours and their distance in Å.
Atoms (fractional coordinates):
Li 0.8567 0.8567 0.4300  1 P 2.53, 3 Li 2.64, 3 Pd 2.66
Li 0.1433 0.1433 0.5700  1 P 2.53, 3 Li 2.64, 3 Pd 2.66
P 0.7452 0.7452 0.7643  3 Pd 2.45, 1 Li 2.53
P 0.2548 0.2548 0.2357  3 Pd 2.45, 1 Li 2.53
Pd 0.4279 0.4279 0.7164  3 P 2.45, 3 Li 2.66
Pd 0.5721 0.5721 0.2836  3 P 2.45, 3 Li 2.66
Th 0.0000 0.0000 0.0000  6 P 3.01, 6 Pd 3.24, 2 Li 3.25



(2)
Compound: Li2ThPPd2
Source: the Alexandria database
Functional: PBE
Structure: optimized geometry

Results
Formation energy from the elements, eV per atom: -0.494
Space group: P4/mmm, No. 123

Lattice parameters (Å, degrees): 4.3724 4.3724 5.6507 90.00 90.00 90.00
Last column: nearest neighbours and their distance in Å.
Atoms (fractional coordinates):
P 0.0000 0.0000 0.0000  4 Li 2.19
Pd 0.5000 0.5000 0.2664  1 Pd 2.64, 4 Li 2.65
Pd 0.5000 0.5000 0.7336  1 Pd 2.64, 4 Li 2.65
Th 0.0000 0.0000 0.5000  2 P 2.83
Li 0.0000 0.5000 0.0000  2 P 2.19
Li 0.5000 0.0000 0.0000  2 P 2.19



(3)
Compound: LiTh2P3Pd4
Source: the Alexandria database
Functional: PBE
Structure: optimized geometry

Results
Formation energy from the elements, eV per atom: -0.951
Space group: P-4m2, No. 115

Lattice parameters (Å, degrees): 4.1553 4.1553 10.1758 90.00 90.00 90.00
Last column: nearest neighbours and their distance in Å.
Atoms (fractional coordinates):
Pd 0.0000 0.0000 0.0000  4 P 2.52
Pd 0.5000 0.0000 0.6266  3 P 2.37-2.44, 2 Li 2.44
Pd 0.0000 0.5000 0.3734  3 P 2.37-2.44, 2 Li 2.44
Pd 0.5000 0.5000 0.0000  4 P 2.52
Th 0.0000 0.5000 0.7557  6 P 3.12-3.33, 8 Pd 3.22-3.24, 2 Li 3.33
Th 0.5000 0.0000 0.2443  6 P 3.12-3.33, 8 Pd 3.22-3.24, 2 Li 3.33
Li 0.5000 0.5000 0.5000  4 Pd 2.44
P 0.0000 0.0000 0.5000  4 Pd 2.44
P 0.5000 0.0000 0.8595  5 Pd 2.37-2.52
P 0.0000 0.5000 0.1405  5 Pd 2.37-2.52



(4)
Compound: LiTi2PPd
Source: the Alexandria database
Functional: PBE
Structure: optimized geometry

Results
Formation energy from the elements, eV per atom: 0.388
Space group: P4/mmm, No. 123

Lattice parameters (Å, degrees): 4.7226 4.3258 4.7226 90.00 90.00 90.00
Last column: nearest neighbours and their distance in Å.
Atoms (fractional coordinates):
Ti 0.5000 0.0000 0.0000  2 Pd 2.36
Ti 0.0000 0.0000 0.5000  2 Pd 2.36
Li 0.0000 0.5000 0.0000  2 Pd 2.16
Pd 0.0000 0.0000 0.0000  2 Li 2.16, 4 Ti 2.36
P 0.5000 0.5000 0.5000  8 Ti 3.20, 4 Li 3.34



(5)
Compound: Li2TmP2Pd2
Source: the Alexandria database
Functional: PBE
Structure: optimized geometry

Results
Formation energy from the elements, eV per atom: -0.943
Space group: R-3m, No. 166

Lattice parameters (Å, degrees): 4.1116 4.1116 7.8723 74.86 74.86 60.00
Last column: nearest neighbours and their distance in Å.
Atoms (fractional coordinates):
P 0.7447 0.7447 0.7658  3 Pd 2.39, 1 Li 2.55
P 0.2553 0.2553 0.2342  3 Pd 2.39, 1 Li 2.55
Li 0.8579 0.8579 0.4263  4 P 2.55-2.78, 3 Li 2.62, 3 Pd 2.65
Li 0.1421 0.1421 0.5737  4 P 2.55-2.78, 3 Li 2.62, 3 Pd 2.65
Tm 0.0000 0.0000 0.0000  6 P 2.95, 6 Pd 3.12, 2 Li 3.20
Pd 0.4233 0.4233 0.7301  3 P 2.39, 3 Li 2.65
Pd 0.5767 0.5767 0.2699  3 P 2.39, 3 Li 2.65



(6)
Compound: Li2UP2Pd
Source: the Alexandria database
Functional: PBE
Structure: optimized geometry

Results
Formation energy from the elements, eV per atom: -0.712
Space group: Pmc2_1, No. 26

Lattice parameters (Å, degrees): 4.2008 6.2850 7.7583 90.00 90.00 90.00
Last column: nearest neighbours and their distance in Å.
Atoms (fractional coordinates):
P 0.5000 0.7670 0.6388  1 Pd 2.42, 1 Li 2.58
P 0.5000 0.2670 0.3612  1 Pd 2.42, 1 Li 2.58
P 0.0000 0.7767 0.1814  2 Pd 2.36, 2 Li 2.50-2.64
P 0.0000 0.2767 0.8186  2 Pd 2.36, 2 Li 2.50-2.64
Li 0.5000 0.0139 0.1001  3 P 2.58-2.65, 2 Pd 2.70-2.77
Li 0.0000 0.3603 0.1335  2 P 2.50-2.64
Li 0.0000 0.8603 0.8665  2 P 2.50-2.64
Li 0.5000 0.5139 0.8999  3 P 2.58-2.65, 2 Pd 2.70-2.77
Pd 0.5000 0.6240 0.2454  3 P 2.36-2.42
Pd 0.5000 0.1240 0.7546  3 P 2.36-2.42
U 0.0000 0.0036 0.4759  5 P 2.69-2.87
U 0.0000 0.5036 0.5241  5 P 2.69-2.87



(7)
Compound: Li2ZnP2Pd5
Source: the Alexandria database
Functional: PBE
Structure: optimized geometry

Results
Formation energy from the elements, eV per atom: -0.524
Space group: P4/mbm, No. 127

Lattice parameters (Å, degrees): 3.3397 9.5773 9.5773 90.00 90.00 90.00
Last column: nearest neighbours and their distance in Å.
Atoms (fractional coordinates):
Li 0.0000 0.1697 0.3303  3 P 2.69-2.91, 6 Pd 2.84-2.97
Li 0.0000 0.6697 0.1697  3 P 2.69-2.91, 6 Pd 2.84-2.97
Li 0.0000 0.8303 0.6697  3 P 2.69-2.91, 6 Pd 2.84-2.97
Li 0.0000 0.3303 0.8303  3 P 2.69-2.91, 6 Pd 2.84-2.97
Pd 0.5000 0.7979 0.9239  2 P 2.37
Pd 0.5000 0.0761 0.7979  2 P 2.37
Pd 0.5000 0.2021 0.0761  2 P 2.37
Pd 0.5000 0.5000 0.0000  4 P 2.44
Pd 0.5000 0.4239 0.2979  2 P 2.37
Pd 0.5000 0.2979 0.5761  2 P 2.37
Pd 0.5000 0.7021 0.4239  2 P 2.37
Pd 0.5000 0.5761 0.7021  2 P 2.37
Pd 0.5000 0.0000 0.5000  4 P 2.44
Pd 0.5000 0.9239 0.2021  2 P 2.37
Zn 0.0000 0.5000 0.5000  8 Pd 2.66
Zn 0.0000 0.0000 0.0000  8 Pd 2.66
P 0.0000 0.8682 0.3682  6 Pd 2.37-2.44
P 0.0000 0.1318 0.6318  6 Pd 2.37-2.44
P 0.0000 0.6318 0.8682  6 Pd 2.37-2.44
P 0.0000 0.3682 0.1318  6 Pd 2.37-2.44



(8)
Compound: LiZnPPd
Source: the Alexandria database
Functional: PBE
Structure: optimized geometry

Results
Formation energy from the elements, eV per atom: -0.368
Space group: F-43m, No. 216

Lattice parameters (Å, degrees): 4.2917 4.2917 4.2917 60.00 60.00 60.00
Last column: nearest neighbours and their distance in Å.
Atoms (fractional coordinates):
Zn 0.0000 0.0000 0.0000  4 Li 2.63, 4 Pd 2.63
Pd 0.7500 0.7500 0.7500  4 P 2.63, 4 Zn 2.63
Li 0.2500 0.2500 0.2500  4 Zn 2.63, 4 P 2.63
P 0.5000 0.5000 0.5000  4 Li 2.63, 4 Pd 2.63



(9)
Compound: Li2ZrPPd
Source: the Alexandria database
Functional: PBE
Structure: optimized geometry

Results
Formation energy from the elements, eV per atom: -0.307
Space group: P4/mmm, No. 123

Lattice parameters (Å, degrees): 4.3356 5.0474 4.3356 90.00 90.00 90.00
Last column: nearest neighbours and their distance in Å.
Atoms (fractional coordinates):
Li 0.5000 0.0000 0.0000  2 P 2.17
Li 0.0000 0.0000 0.5000  2 P 2.17
P 0.0000 0.0000 0.0000  4 Li 2.17
Pd 0.5000 0.5000 0.5000  4 Zr 3.07, 8 Li 3.33
Zr 0.0000 0.5000 0.0000  2 P 2.52



(10)
Compound: LiZrPPd2
Source: the Alexandria database
Functional: PBE
Structure: optimized geometry

Results
Formation energy from the elements, eV per atom: -0.141
Space group: P4/mmm, No. 123

Lattice parameters (Å, degrees): 4.1373 4.6047 4.1373 90.00 90.00 90.00
Last column: nearest neighbours and their distance in Å.
Atoms (fractional coordinates):
Pd 0.0000 0.0000 0.5000  2 Li 2.07
Pd 0.5000 0.0000 0.0000  2 Li 2.07
P 0.0000 0.5000 0.0000  2 Li 2.30
Zr 0.5000 0.5000 0.5000  4 P 2.93, 8 Pd 3.10
Li 0.0000 0.0000 0.0000  4 Pd 2.07, 2 P 2.30



(11)
Compound: LiPmP
Source: the Alexandria database
Functional: PBE
Structure: optimized geometry

Results
Polymorph energy (0 for the lowest one), meV/atom: 128.5
Formation energy from the elements, eV per atom: -0.906
Space group: F-43m, No. 216

Lattice parameters (Å, degrees): 4.5808 4.5808 4.5808 60.00 60.00 60.00
Last column: nearest neighbours and their distance in Å.
Atoms (fractional coordinates):
P 0.2500 0.2500 0.2500  4 Li 2.81, 4 Pm 2.81
Li 0.0000 0.0000 0.0000  4 P 2.81
Pm 0.5000 0.5000 0.5000  4 P 2.81



(12)
Compound: LiPmP
Source: the Alexandria database
Functional: PBE
Structure: optimized geometry

Results
Polymorph energy (0 for the lowest one), meV/atom: 24.0
Formation energy from the elements, eV per atom: -1.010
Space group: P-6m2, No. 187

Lattice parameters (Å, degrees): 3.9908 4.1057 4.1057 120.00 90.00 90.00
Last column: nearest neighbours and their distance in Å.
Atoms (fractional coordinates):
P 0.1667 0.6667 0.3333  3 Li 2.37
Pm 0.6667 0.3333 0.6667  6 P 3.10, 6 Li 3.10
Li 0.1666 0.0000 0.0000  3 P 2.37



(13)
Compound: Li3PmP2
Source: the Alexandria database
Functional: PBE
Structure: optimized geometry

Results
Formation energy from the elements, eV per atom: -0.915
Space group: C2/m, No. 12

Lattice parameters (Å, degrees): 3.9796 8.2075 9.9277 100.70 90.00 104.03
Last column: nearest neighbours and their distance in Å.
Atoms (fractional coordinates):
P 0.6428 0.2856 0.4907  5 Li 2.29-2.53
P 0.1934 0.3869 0.1496  6 Li 2.50-2.63
P 0.3572 0.7144 0.5093  5 Li 2.29-2.53
P 0.4559 0.9118 0.1921  4 Li 2.57-2.75
P 0.8066 0.6131 0.8504  6 Li 2.50-2.63
P 0.5441 0.0882 0.8079  4 Li 2.57-2.75
Pm 0.1650 0.3300 0.7167  6 P 2.97-3.11, 4 Li 3.22-3.32
Pm 0.8350 0.6700 0.2833  6 P 2.97-3.11, 4 Li 3.22-3.32
Pm 0.0000 0.0000 0.0000  6 P 2.93-3.15
Li 0.2099 0.4199 0.4075  4 P 2.37-2.52, 1 Li 2.48
Li 0.0517 0.1034 0.3395  5 Li 2.48-2.77, 4 P 2.74-2.75
Li 0.9483 0.8966 0.6605  5 Li 2.48-2.77, 4 P 2.74-2.75
Li 0.6824 0.3647 0.9907  4 P 2.52-2.63, 1 Li 2.74
Li 0.6227 0.2455 0.2315  4 P 2.50-2.61, 3 Li 2.62-2.74
Li 0.3773 0.7545 0.7685  4 P 2.50-2.61, 3 Li 2.62-2.74
Li 0.7901 0.5801 0.5925  4 P 2.37-2.52, 1 Li 2.48
Li 0.3176 0.6353 0.0093  4 P 2.52-2.63, 1 Li 2.74
Li 0.5000 0.0000 0.5000  2 P 2.29



(14)
Compound: LiPmP
Source: the Alexandria database
Functional: PBE
Structure: optimized geometry

Results
Polymorph energy (0 for the lowest one), meV/atom: 422.2
Formation energy from the elements, eV per atom: -0.612
Space group: I4mm, No. 107

Lattice parameters (Å, degrees): 3.9478 3.9478 4.8669 113.93 113.93 90.00
Last column: nearest neighbours and their distance in Å.
Atoms (fractional coordinates):
P 0.6351 0.6351 0.2702  1 Li 2.40
Li 0.9365 0.9365 0.8731  1 P 2.40
Pm 0.2783 0.2783 0.5567  1 Li 2.73, 5 P 2.84-3.02



(15)
Compound: LiPm2P
Source: the Alexandria database
Functional: PBE
Structure: optimized geometry

Results
Polymorph energy (0 for the lowest one), meV/atom: 92.0
Formation energy from the elements, eV per atom: -0.479
Space group: Fm-3m, No. 225

Lattice parameters (Å, degrees): 5.0214 5.0214 5.0214 60.00 60.00 60.00
Last column: nearest neighbours and their distance in Å.
Atoms (fractional coordinates):
P 0.5000 0.5000 0.5000  8 Pm 3.07
Li 0.0000 0.0000 0.0000  8 Pm 3.07
Pm 0.7500 0.7500 0.7500  4 Li 3.07, 4 P 3.07
Pm 0.2500 0.2500 0.2500  4 Li 3.07, 4 P 3.07



(16)
Compound: LiPmP
Source: the Alexandria database
Functional: PBE
Structure: optimized geometry

Results
Polymorph energy (0 for the lowest one), meV/atom: 0.0
Formation energy from the elements, eV per atom: -1.034
Space group: P4/nmm, No. 129

Lattice parameters (Å, degrees): 4.0873 4.0873 6.9630 90.00 90.00 90.00
Last column: nearest neighbours and their distance in Å.
Atoms (fractional coordinates):
Li 0.2500 0.2500 0.0000  4 P 2.60, 4 Li 2.89
Li 0.7500 0.7500 0.0000  4 P 2.60, 4 Li 2.89
P 0.7500 0.2500 0.2319  4 Li 2.60
P 0.2500 0.7500 0.7681  4 Li 2.60
Pm 0.7500 0.2500 0.6598  5 P 2.98-2.99, 4 Li 3.13
Pm 0.2500 0.7500 0.3402  5 P 2.98-2.99, 4 Li 3.13



(17)
Compound: LiPmP
Source: the Alexandria database
Functional: PBE
Structure: optimized geometry

Results
Polymorph energy (0 for the lowest one), meV/atom: 137.2
Formation energy from the elements, eV per atom: -0.897
Space group: C2/m, No. 12

Lattice parameters (Å, degrees): 4.3756 6.0716 7.4308 133.81 107.12 90.00
Last column: nearest neighbours and their distance in Å.
Atoms (fractional coordinates):
Li 0.6220 0.8360 0.2441  3 P 2.46-2.61
Li 0.3780 0.1640 0.7559  3 P 2.46-2.61
Pm 0.1277 0.4770 0.2553  4 P 2.86-3.00, 3 Li 2.92-3.13
Pm 0.8723 0.5230 0.7447  4 P 2.86-3.00, 3 Li 2.92-3.13
P 0.1717 0.0867 0.3435  3 Li 2.46-2.61
P 0.8283 0.9133 0.6565  3 Li 2.46-2.61



(18)
Compound: LiPm2P
Source: the Alexandria database
Functional: PBE
Structure: optimized geometry

Results
Polymorph energy (0 for the lowest one), meV/atom: 0.0
Formation energy from the elements, eV per atom: -0.571
Space group: P4/mmm, No. 123

Lattice parameters (Å, degrees): 3.8689 4.8439 4.8439 90.00 90.00 90.00
Last column: nearest neighbours and their distance in Å.
Atoms (fractional coordinates):
P 0.5000 0.5000 0.5000  8 Pm 3.10, 4 Li 3.43
Pm 0.0000 0.5000 0.0000  4 Li 3.10, 4 P 3.10, 4 Pm 3.43
Pm 0.0000 0.0000 0.5000  4 P 3.10, 4 Li 3.10, 4 Pm 3.43
Li 0.5000 0.0000 0.0000  8 Pm 3.10, 4 P 3.43



(19)
Compound: Li2PmPrP2
Source: the Alexandria database
Functional: PBE
Structure: optimized geometry

Results
Formation energy from the elements, eV per atom: -1.010
Space group: P-3m1, No. 164

Lattice parameters (Å, degrees): 4.1684 4.1684 7.8341 90.00 90.00 120.00
Last column: nearest neighbours and their distance in Å.
Atoms (fractional coordinates):
Pr 0.0000 0.0000 0.0000  6 Li 3.12, 6 P 3.14
P 0.6667 0.3333 0.7433  3 Li 2.41
P 0.3333 0.6667 0.2567  3 Li 2.41
Pm 0.0000 0.0000 0.5000  6 P 3.07, 6 Li 3.09
Li 0.3333 0.6667 0.7474  3 P 2.41
Li 0.6667 0.3333 0.2526  3 P 2.41



(20)
Compound: LiPmPPt2
Source: the Alexandria database
Functional: PBE
Structure: optimized geometry

Results
Formation energy from the elements, eV per atom: -0.980
Space group: Imm2, No. 44

Lattice parameters (Å, degrees): 4.1171 3.8717 6.2727 107.98 109.16 90.00
Last column: nearest neighbours and their distance in Å.
Atoms (fractional coordinates):
Pt 0.0382 0.0382 0.0764  1 P 2.36, 2 Li 2.64
Pt 0.7082 0.2082 0.4165  2 P 2.35
Pm 0.4406 0.4406 0.8813  6 Pt 3.03-3.32, 4 P 3.10, 2 Li 3.34
P 0.8273 0.8273 0.6546  3 Pt 2.35-2.36, 2 Li 2.52
Li 0.1978 0.6978 0.3956  2 P 2.52, 2 Pt 2.64